Entry 1:
# ZrV2Te6

Crystalline ZrV2Te6 at its relaxed geometry (PBE, Alexandria via LeMat-Bulk).

The structure in CIF format:
```
data_ZrV2Te6
_chemical_formula_sum 'Zr2 V4 Te12'
_space_group_name_H-M_alt 'C 1 2/m 1'
_space_group_IT_number 12
_space_group_name_Hall '-C 2y'
_cell_length_a 13.279
_cell_length_b 5.106
_cell_length_c 9.272
_cell_angle_alpha 90.00
_cell_angle_beta 117.47
_cell_angle_gamma 90.00
loop_
_atom_site_label
_atom_site_fract_x
_atom_site_fract_y
_atom_site_fract_z
_atom_site_occupancy
Zr1 0.000 0.000 0.000 1
V1 0.171 0.000 0.592 1
Te1 0.020 0.000 0.707 1
Te2 0.144 0.500 0.110 1
Te3 0.200 0.500 0.570 1
```

=====

Entry 2:
# TeW

Crystalline TeW at its relaxed geometry (PBE, Alexandria via LeMat-Bulk).

The structure in CIF format:
```
data_TeW
_chemical_formula_sum 'Te4 W4'
_space_group_name_H-M_alt 'P 63/m m c'
_space_group_IT_number 194
_space_group_name_Hall '-P 6c 2c'
_cell_length_a 4.3552
_cell_length_b 4.3552
_cell_length_c 13.3825
_cell_angle_alpha 90.00
_cell_angle_beta 90.00
_cell_angle_gamma 120.00
loop_
_atom_site_label
_atom_site_fract_x
_atom_site_fract_y
_atom_site_fract_z
_atom_site_occupancy
Te1 0.3333 0.6667 0.1198 1
W1 0.0000 0.0000 0.2500 1
W2 0.3333 0.6667 0.7500 1
```

=====

Entry 3:
# TeW

Crystalline TeW at its relaxed geometry (PBE, Alexandria via LeMat-Bulk).

The structure in CIF format:
```
data_TeW
_chemical_formula_sum 'Te3 W3'
_space_group_name_H-M_alt 'R -3 m'
_space_group_IT_number 166
_space_group_name_Hall '-R 3 2"'
_cell_length_a 3.2232
_cell_length_b 3.2232
_cell_length_c 12.8397
_cell_angle_alpha 90.00
_cell_angle_beta 90.00
_cell_angle_gamma 120.00
loop_
_atom_site_label
_atom_site_fract_x
_atom_site_fract_y
_atom_site_fract_z
_atom_site_occupancy
Te1 0.0000 0.0000 0.0000 1
W1 0.0000 0.0000 0.5000 1
```

=====

Entry 4:
# TeW3

Crystalline TeW3 at its relaxed geometry (PBE, Alexandria via LeMat-Bulk).

The structure in CIF format:
```
data_TeW3
_chemical_formula_sum 'Te4 W12'
_space_group_name_H-M_alt 'C m c m'
_space_group_IT_number 63
_space_group_name_Hall '-C 2c 2'
_cell_length_a 7.312
_cell_length_b 8.993
_cell_length_c 4.499
_cell_angle_alpha 90.00
_cell_angle_beta 90.00
_cell_angle_gamma 90.00
loop_
_atom_site_label
_atom_site_fract_x
_atom_site_fract_y
_atom_site_fract_z
_atom_site_occupancy
Te1 0.000 0.132 0.250 1
W1 0.000 0.325 0.750 1
W2 0.192 0.415 0.250 1
```

=====

Entry 5:
# TeW

Crystalline TeW at its relaxed geometry (PBE, Alexandria via LeMat-Bulk).

The structure in CIF format:
```
data_TeW
_chemical_formula_sum 'Te6 W6'
_space_group_name_H-M_alt 'C 1 m 1'
_space_group_IT_number 8
_space_group_name_Hall 'C -2y'
_cell_length_a 11.343
_cell_length_b 3.364
_cell_length_c 7.086
_cell_angle_alpha 90.00
_cell_angle_beta 94.98
_cell_angle_gamma 90.00
loop_
_atom_site_label
_atom_site_fract_x
_atom_site_fract_y
_atom_site_fract_z
_atom_site_occupancy
Te1 0.000 0.000 0.000 1
Te2 0.036 0.000 0.515 1
Te3 0.266 0.500 0.349 1
W1 0.199 0.500 0.746 1
W2 0.257 0.000 0.011 1
W3 0.403 0.000 0.726 1
```

=====

Entry 6:
# TeW3

Crystalline TeW3 at its relaxed geometry (PBE, Alexandria via LeMat-Bulk).

The structure in CIF format:
```
data_TeW3
_chemical_formula_sum 'Te2 W6'
_space_group_name_H-M_alt 'C m m m'
_space_group_IT_number 65
_space_group_name_Hall '-C 2 2'
_cell_length_a 5.397
_cell_length_b 8.284
_cell_length_c 3.139
_cell_angle_alpha 90.00
_cell_angle_beta 90.00
_cell_angle_gamma 90.00
loop_
_atom_site_label
_atom_site_fract_x
_atom_site_fract_y
_atom_site_fract_z
_atom_site_occupancy
Te1 0.000 0.000 0.000 1
W1 0.000 0.500 0.000 1
W2 0.250 0.250 0.500 1
```

=====

Entry 7:
# TeW3

Crystalline TeW3 at its relaxed geometry (PBE, Alexandria via LeMat-Bulk).

The structure in CIF format:
```
data_TeW3
_chemical_formula_sum 'Te2 W6'
_space_group_name_H-M_alt 'P m -3 n'
_space_group_IT_number 223
_space_group_name_Hall '-P 4n 2 3'
_cell_length_a 5.170
_cell_length_b 5.170
_cell_length_c 5.170
_cell_angle_alpha 90.00
_cell_angle_beta 90.00
_cell_angle_gamma 90.00
loop_
_atom_site_label
_atom_site_fract_x
_atom_site_fract_y
_atom_site_fract_z
_atom_site_occupancy
Te1 0.000 0.000 0.000 1
W1 0.000 0.250 0.500 1
```

=====

Entry 8:
# TeW3

Crystalline TeW3 at its relaxed geometry (PBE, Alexandria via LeMat-Bulk).

The structure in CIF format:
```
data_TeW3
_chemical_formula_sum 'Te2 W6'
_space_group_name_H-M_alt 'I m m m'
_space_group_IT_number 71
_space_group_name_Hall '-I 2 2'
_cell_length_a 3.289
_cell_length_b 4.453
_cell_length_c 9.396
_cell_angle_alpha 90.00
_cell_angle_beta 90.00
_cell_angle_gamma 90.00
loop_
_atom_site_label
_atom_site_fract_x
_atom_site_fract_y
_atom_site_fract_z
_atom_site_occupancy
Te1 0.000 0.000 0.000 1
W1 0.000 0.000 0.500 1
W2 0.000 0.500 0.249 1
```

=====

Entry 9:
# TeW2

Crystalline TeW2 at its relaxed geometry (PBE, Alexandria via LeMat-Bulk).

The structure in CIF format:
```
data_TeW2
_chemical_formula_sum 'Te2 W4'
_space_group_name_H-M_alt 'I m m m'
_space_group_IT_number 71
_space_group_name_Hall '-I 2 2'
_cell_length_a 3.120
_cell_length_b 4.313
_cell_length_c 8.073
_cell_angle_alpha 90.00
_cell_angle_beta 90.00
_cell_angle_gamma 90.00
loop_
_atom_site_label
_atom_site_fract_x
_atom_site_fract_y
_atom_site_fract_z
_atom_site_occupancy
Te1 0.000 0.000 0.000 1
W1 0.000 0.000 0.332 1
```

=====

Entry 10:
# TeW

Crystalline TeW at its relaxed geometry (PBE, Alexandria via LeMat-Bulk).

The structure in CIF format:
```
data_TeW
_chemical_formula_sum 'Te8 W8'
_space_group_name_H-M_alt 'P 4/m'
_space_group_IT_number 83
_space_group_name_Hall '-P 4'
_cell_length_a 11.841
_cell_length_b 11.841
_cell_length_c 3.608
_cell_angle_alpha 90.00
_cell_angle_beta 90.00
_cell_angle_gamma 90.00
loop_
_atom_site_label
_atom_site_fract_x
_atom_site_fract_y
_atom_site_fract_z
_atom_site_occupancy
Te1 0.044 0.710 0.000 1
Te2 0.264 0.390 0.500 1
W1 0.113 0.482 0.000 1
W2 0.192 0.614 0.500 1
```

=====

Entry 11:
# TeW3

Crystalline TeW3 at its relaxed geometry (PBE, Alexandria via LeMat-Bulk).

The structure in CIF format:
```
data_TeW3
_chemical_formula_sum 'Te4 W12'
_space_group_name_H-M_alt 'F m -3 m'
_space_group_IT_number 225
_space_group_name_Hall '-F 4 2 3'
_cell_length_a 6.545
_cell_length_b 6.545
_cell_length_c 6.545
_cell_angle_alpha 90.00
_cell_angle_beta 90.00
_cell_angle_gamma 90.00
loop_
_atom_site_label
_atom_site_fract_x
_atom_site_fract_y
_atom_site_fract_z
_atom_site_occupancy
Te1 0.000 0.000 0.000 1
W1 0.000 0.000 0.500 1
W2 0.250 0.250 0.250 1
```

=====

Entry 12:
# TeW2

Crystalline TeW2 at its relaxed geometry (PBE, Alexandria via LeMat-Bulk).

The structure in CIF format:
```
data_TeW2
_chemical_formula_sum 'Te4 W8'
_space_group_name_H-M_alt 'C 1 2/m 1'
_space_group_IT_number 12
_space_group_name_Hall '-C 2y'
_cell_length_a 9.676
_cell_length_b 3.251
_cell_length_c 7.303
_cell_angle_alpha 90.00
_cell_angle_beta 107.69
_cell_angle_gamma 90.00
loop_
_atom_site_label
_atom_site_fract_x
_atom_site_fract_y
_atom_site_fract_z
_atom_site_occupancy
Te1 0.005 0.000 0.272 1
W1 0.156 0.500 0.036 1
W2 0.201 0.500 0.636 1
```

=====

Entry 13:
# TeW2

Crystalline TeW2 at its relaxed geometry (PBE, Alexandria via LeMat-Bulk).

The structure in CIF format:
```
data_TeW2
_chemical_formula_sum 'Te4 W8'
_space_group_name_H-M_alt 'F m -3 m'
_space_group_IT_number 225
_space_group_name_Hall '-F 4 2 3'
_cell_length_a 6.244
_cell_length_b 6.244
_cell_length_c 6.244
_cell_angle_alpha 90.00
_cell_angle_beta 90.00
_cell_angle_gamma 90.00
loop_
_atom_site_label
_atom_site_fract_x
_atom_site_fract_y
_atom_site_fract_z
_atom_site_occupancy
Te1 0.000 0.000 0.000 1
W1 0.250 0.250 0.250 1
```

=====

Entry 14:
# TeW2

Crystalline TeW2 at its relaxed geometry (PBE, Alexandria via LeMat-Bulk).

The structure in CIF format:
```
data_TeW2
_chemical_formula_sum 'Te4 W8'
_space_group_name_H-M_alt 'C m c m'
_space_group_IT_number 63
_space_group_name_Hall '-C 2c 2'
_cell_length_a 3.323
_cell_length_b 19.112
_cell_length_c 4.296
_cell_angle_alpha 90.00
_cell_angle_beta 90.00
_cell_angle_gamma 90.00
loop_
_atom_site_label
_atom_site_fract_x
_atom_site_fract_y
_atom_site_fract_z
_atom_site_occupancy
Te1 0.000 0.169 0.250 1
W1 0.000 0.064 0.750 1
W2 0.000 0.448 0.750 1
```

=====

Entry 15:
# TeW

Crystalline TeW at its relaxed geometry (PBE, Alexandria via LeMat-Bulk).

The structure in CIF format:
```
data_TeW
_chemical_formula_sum 'Te2 W2'
_space_group_name_H-M_alt 'P 4/n m m'
_space_group_IT_number 129
_cell_length_a 3.239
_cell_length_b 3.239
_cell_length_c 8.295
_cell_angle_alpha 90.00
_cell_angle_beta 90.00
_cell_angle_gamma 90.00
loop_
_space_group_symop_operation_xyz
'x,y,z'
'-x,-y,-z'
'-y+1/2,x,z'
'y+1/2,-x,-z'
'-x+1/2,-y+1/2,z'
'x+1/2,y+1/2,-z'
'y,-x+1/2,z'
'-y,x+1/2,-z'
'x+1/2,-y,-z'
'-x+1/2,y,z'
'-y,-x,-z'
'y,x,z'
'-x,y+1/2,-z'
'x,-y+1/2,z'
'y+1/2,x+1/2,-z'
'-y+1/2,-x+1/2,z'
loop_
_atom_site_label
_atom_site_fract_x
_atom_site_fract_y
_atom_site_fract_z
_atom_site_occupancy
Te1 0.250 0.250 0.199 1
W1 0.250 0.250 0.604 1
```

=====

Entry 16:
# TeW

Crystalline TeW at its relaxed geometry (PBE, Alexandria via LeMat-Bulk).

The structure in CIF format:
```
data_TeW
_chemical_formula_sum 'Te6 W6'
_space_group_name_H-M_alt 'C 1 m 1'
_space_group_IT_number 8
_space_group_name_Hall 'C -2y'
_cell_length_a 13.649
_cell_length_b 3.254
_cell_length_c 6.957
_cell_angle_alpha 90.00
_cell_angle_beta 117.10
_cell_angle_gamma 90.00
loop_
_atom_site_label
_atom_site_fract_x
_atom_site_fract_y
_atom_site_fract_z
_atom_site_occupancy
Te1 0.000 0.000 0.000 1
Te2 0.087 0.000 0.572 1
Te3 0.299 0.000 0.190 1
W1 0.193 0.500 0.379 1
W2 0.273 0.500 0.804 1
W3 0.365 0.000 0.632 1
```

=====

Entry 17:
# TeW

Crystalline TeW at its relaxed geometry (PBE, Alexandria via LeMat-Bulk).

The structure in CIF format:
```
data_TeW
_chemical_formula_sum 'Te8 W8'
_space_group_name_H-M_alt 'I -4 3 m'
_space_group_IT_number 217
_space_group_name_Hall 'I -4 2 3'
_cell_length_a 8.306
_cell_length_b 8.306
_cell_length_c 8.306
_cell_angle_alpha 90.00
_cell_angle_beta 90.00
_cell_angle_gamma 90.00
loop_
_atom_site_label
_atom_site_fract_x
_atom_site_fract_y
_atom_site_fract_z
_atom_site_occupancy
Te1 0.200 0.200 0.200 1
W1 0.111 0.111 0.889 1
```

=====

Entry 18:
# TeW

Crystalline TeW at its relaxed geometry (PBE, Alexandria via LeMat-Bulk).

The structure in CIF format:
```
data_TeW
_chemical_formula_sum 'Te6 W6'
_space_group_name_H-M_alt 'R -3 m'
_space_group_IT_number 166
_space_group_name_Hall '-R 3 2"'
_cell_length_a 3.2744
_cell_length_b 3.2744
_cell_length_c 30.6333
_cell_angle_alpha 90.00
_cell_angle_beta 90.00
_cell_angle_gamma 120.00
loop_
_atom_site_label
_atom_site_fract_x
_atom_site_fract_y
_atom_site_fract_z
_atom_site_occupancy
Te1 0.0000 0.0000 0.1015 1
W1 0.0000 0.0000 0.3622 1
```

=====

Entry 19:
# TeW3

Crystalline TeW3 at its relaxed geometry (PBE, Alexandria via LeMat-Bulk).

The structure in CIF format:
```
data_TeW3
_chemical_formula_sum 'Te1 W3'
_space_group_name_H-M_alt 'P 4/m m m'
_space_group_IT_number 123
_space_group_name_Hall '-P 4 2'
_cell_length_a 3.215
_cell_length_b 3.215
_cell_length_c 6.811
_cell_angle_alpha 90.00
_cell_angle_beta 90.00
_cell_angle_gamma 90.00
loop_
_atom_site_label
_atom_site_fract_x
_atom_site_fract_y
_atom_site_fract_z
_atom_site_occupancy
Te1 0.000 0.000 0.000 1
W1 0.000 0.000 0.500 1
W2 0.500 0.500 0.271 1
```

=====

Entry 20:
# TeW

Crystalline TeW at its relaxed geometry (PBE, Alexandria via LeMat-Bulk).

The structure in CIF format:
```
data_TeW
_chemical_formula_sum 'Te6 W6'
_space_group_name_H-M_alt 'P -3 m 1'
_space_group_IT_number 164
_space_group_name_Hall '-P 3 2"'
_cell_length_a 4.6178
_cell_length_b 4.6178
_cell_length_c 14.9440
_cell_angle_alpha 90.00
_cell_angle_beta 90.00
_cell_angle_gamma 120.00
loop_
_atom_site_label
_atom_site_fract_x
_atom_site_fract_y
_atom_site_fract_z
_atom_site_occupancy
Te1 0.0000 0.0000 0.1071 1
Te2 0.3333 0.6667 0.2584 1
Te3 0.3333 0.6667 0.6040 1
W1 0.0000 0.0000 0.2941 1
W2 0.3333 0.6667 0.7982 1
W3 0.3333 0.6667 0.9709 1
```

=====

In order of appearance, ΔE to the lowest computed polymorph = 231 426 575 168 243 254 252 118 619 268 267 468 1359 0 134 238 524 137 0 384 meV/atom.
In order of appearance, formation energy without anion corrections = -2.2 1.3 1.6 2.8 0.9 3.2 3.2 2.6 2.4 1.0 3.2 2.0 4.7 0.6 0.7 0.9 1.5 0.7 2.2 1.2 eV/f.u..
In order of appearance, size of the total moment = 4.4 0.0 0.0 0.0 0.0 0.0 0.0 0.0 0.0 0.0 1.2 0.0 0.0 0.0 0.0 0.0 0.0 0.0 0.0 0.0 μB/cell.